Record 1
Here is Rb3LiAg after structural relaxation from the Alexandria database. Energies are from GGA-PBE.

Structure (extended XYZ):
```
5
Lattice="-0.762 6.844 -0.277 -5.212 -0.399 4.491 4.443 0.706 5.220" Properties=species:S:1:pos:R:3 pbc="T T T"
Li -0.765 3.575 4.717
Ag 0.000 0.000 0.000
Rb -0.381 3.422 -0.138
Rb 2.222 0.353 2.610
Rb -2.606 -0.199 2.245
```

## Properties
- Total magnetization: 0.00 Bohr magnetons per cell
- Calculated formation energy: 0.1885 eV per atom
- Electronic total energy: -6.7 eV per cell
- Energy relative to the lowest polymorph listed for this composition: 0.0 kJ per mole of atoms

Record 2
Here is RbLiAg after structural relaxation from the Alexandria database. Energies are from GGA-PBE.

Structure (extended XYZ):
```
6
Lattice="4.838 0.000 0.000 0.000 4.838 0.000 0.000 0.000 8.787" Properties=species:S:1:pos:R:3 pbc="T T T"
Rb 0.000 2.419 7.305
Rb 2.419 0.000 1.482
Li 0.000 0.000 4.393
Li 2.419 2.419 4.393
Ag 2.419 0.000 5.721
Ag 0.000 2.419 3.065
```

## Properties
- Total magnetization: 0.00 Bohr magnetons per cell
- Calculated formation energy: 0.0078 eV per atom
- Electronic total energy: -11.4 eV per cell
- Energy relative to the lowest polymorph listed for this composition: 0.0 kJ per mole of atoms

Record 3
Here is Rb2LiAg2 after structural relaxation from the Alexandria database. Energies are from GGA-PBE.

Structure (extended XYZ):
```
5
Lattice="5.410 0.000 0.000 0.000 5.410 0.000 2.705 2.705 7.391" Properties=species:S:1:pos:R:3 pbc="T T T"
Ag 5.410 5.410 6.021
Ag 2.705 2.705 1.370
Li 0.000 0.000 0.000
Rb 2.705 5.410 3.695
Rb 5.410 2.705 3.695
```

## Properties
- Total magnetization: 0.00 Bohr magnetons per cell
- Calculated formation energy: 0.3512 eV per atom
- Electronic total energy: -7.8 eV per cell
- Energy relative to the lowest polymorph listed for this composition: 22.7 kJ per mole of atoms

Record 4
Here is RbLiAg2 after structural relaxation from the Alexandria database. Energies are from GGA-PBE.

Structure (extended XYZ):
```
4
Lattice="0.000 3.879 3.879 3.879 0.000 3.879 3.879 3.879 0.000" Properties=species:S:1:pos:R:3 pbc="T T T"
Ag 1.940 1.940 1.940
Ag 5.819 5.819 5.819
Rb 3.879 3.879 3.879
Li 0.000 0.000 0.000
```

## Properties
- Total magnetization: 0.00 Bohr magnetons per cell
- Calculated formation energy: 0.2576 eV per atom
- Electronic total energy: -7.6 eV per cell
- Energy relative to the lowest polymorph listed for this composition: 28.9 kJ per mole of atoms

Record 5
Here is Rb2LiAg2 after structural relaxation from the Alexandria database. Energies are from GGA-PBE.

Structure (extended XYZ):
```
10
Lattice="7.965 0.000 0.000 0.000 7.965 0.000 0.000 0.000 5.601" Properties=species:S:1:pos:R:3 pbc="T T T"
Rb 6.589 2.607 2.801
Li 0.000 0.000 0.000
Ag 1.020 2.963 0.000
Rb 1.376 5.358 2.801
Ag 6.945 5.002 0.000
Ag 5.002 1.020 0.000
Rb 5.358 6.589 2.801
Rb 2.607 1.376 2.801
Li 3.983 3.983 0.000
Ag 2.963 6.945 0.000
```

## Properties
- Total magnetization: 0.00 Bohr magnetons per cell
- Calculated formation energy: 0.1164 eV per atom
- Electronic total energy: -17.9 eV per cell
- Energy relative to the lowest polymorph listed for this composition: 0.0 kJ per mole of atoms

Record 6
Here is RbLiAg after structural relaxation from the Alexandria database. Energies are from GGA-PBE.

Structure (extended XYZ):
```
3
Lattice="3.820 0.000 0.000 0.000 3.820 0.000 -1.910 -1.910 6.491" Properties=species:S:1:pos:R:3 pbc="T T T"
Li 1.910 1.910 2.972
Rb 1.910 1.910 6.385
Ag 0.000 0.000 3.626
```

## Properties
- Total magnetization: 0.00 Bohr magnetons per cell
- Calculated formation energy: 0.0682 eV per atom
- Electronic total energy: -5.5 eV per cell
- Energy relative to the lowest polymorph listed for this composition: 5.8 kJ per mole of atoms

Record 7
Here is Rb2LiAg2 after structural relaxation from the Alexandria database. Energies are from GGA-PBE.

Structure (extended XYZ):
```
10
Lattice="10.082 0.000 0.000 0.000 10.082 0.000 0.000 0.000 3.848" Properties=species:S:1:pos:R:3 pbc="T T T"
Li 5.041 5.041 0.000
Rb 8.675 6.447 0.000
Rb 6.447 1.406 0.000
Li 0.000 0.000 0.000
Rb 3.634 8.675 0.000
Rb 1.406 3.634 0.000
Ag 1.622 6.663 1.924
Ag 6.663 8.460 1.924
Ag 8.460 3.419 1.924
Ag 3.419 1.622 1.924
```

## Properties
- Total magnetization: 0.00 Bohr magnetons per cell
- Calculated formation energy: 0.2749 eV per atom
- Electronic total energy: -16.4 eV per cell
- Energy relative to the lowest polymorph listed for this composition: 15.3 kJ per mole of atoms

Record 8
Here is RbLiAg4 after structural relaxation from the Alexandria database. Energies are from GGA-PBE.

Structure (extended XYZ):
```
6
Lattice="-2.134 -5.210 -1.438 2.298 -2.955 -4.444 3.122 -4.797 1.006" Properties=species:S:1:pos:R:3 pbc="T T T"
Ag 0.485 -5.698 -3.558
Ag 2.057 -8.112 -3.052
Rb 0.822 -3.241 -1.219
Ag 3.131 -5.490 -2.328
Li 0.000 0.000 0.000
Ag 0.900 -6.625 -0.815
```

## Properties
- Total magnetization: 0.00 Bohr magnetons per cell
- Calculated formation energy: 0.0434 eV per atom
- Electronic total energy: -14.0 eV per cell

Record 9
Here is RbLiAg2 after structural relaxation from the Alexandria database. Energies are from GGA-PBE.

Structure (extended XYZ):
```
8
Lattice="-1.163 2.555 -7.921 -8.322 -0.250 1.141 -4.697 4.386 -2.353" Properties=species:S:1:pos:R:3 pbc="T T T"
Ag -11.157 5.326 -7.788
Li -4.742 1.153 -3.390
Ag -2.848 2.458 -4.763
Li -8.881 2.644 -2.301
Ag -7.745 4.134 -4.216
Rb -5.301 4.047 -6.832
Ag -6.614 1.464 -1.498
Rb 0.000 0.000 0.000
```

## Properties
- Total magnetization: 0.00 Bohr magnetons per cell
- Calculated formation energy: 0.1894 eV per atom
- Electronic total energy: -15.7 eV per cell
- Energy relative to the lowest polymorph listed for this composition: 22.3 kJ per mole of atoms

Record 10
Here is RbLiAg2Rh after structural relaxation from the Alexandria database. Energies are from GGA-PBE.

Structure (extended XYZ):
```
5
Lattice="-2.508 0.501 4.632 -4.344 -2.154 -2.118 1.693 -4.831 1.439" Properties=species:S:1:pos:R:3 pbc="T T T"
Ag -2.172 -1.077 -1.059
Ag -1.254 0.251 2.316
Rb 0.846 -2.415 0.720
Li -2.579 -3.241 1.977
Rh 0.000 0.000 0.000
```

## Properties
- Total magnetization: 0.00 Bohr magnetons per cell
- Calculated formation energy: 0.6622 eV per atom
- Electronic total energy: -12.6 eV per cell

Record 11
Here is RbLiAgS after structural relaxation from the Alexandria database. Energies are from GGA-PBE.

Structure (extended XYZ):
```
8
Lattice="-2.044 -2.210 2.660 -0.673 -2.777 -2.824 10.952 -6.079 3.366" Properties=species:S:1:pos:R:3 pbc="T T T"
Ag 3.774 -5.391 2.972
Li -1.016 -2.635 -1.453
Rb 7.698 -5.896 2.534
S 7.720 -9.156 2.876
S 0.514 -1.909 0.326
Ag 4.460 -5.674 0.230
Li -1.701 -2.351 1.289
Rb 0.537 -5.169 0.669
```

## Properties
- Total magnetization: 0.00 Bohr magnetons per cell
- Electronic total energy: -25.4 eV per cell

Record 12
Here is RbLi2AgSb after structural relaxation from the Alexandria database. Energies are from GGA-PBE.

Structure (extended XYZ):
```
5
Lattice="5.138 0.000 0.000 0.000 6.225 0.000 0.000 0.000 5.138" Properties=species:S:1:pos:R:3 pbc="T T T"
Li 2.569 0.000 0.000
Li 0.000 0.000 2.569
Rb 0.000 0.000 0.000
Ag 2.569 3.112 2.569
Sb 0.000 3.112 0.000
```

## Properties
- Total magnetization: 0.00 Bohr magnetons per cell
- Electronic total energy: -7.1 eV per cell
- Energy relative to the lowest polymorph listed for this composition: 108.3 kJ per mole of atoms